Record 1
Entry from Alexandria via LeMat-Bulk: TlMo6Se4S4 at its PBEsol-relaxed geometry (SCAN).

The density of states at the Fermi level comes out at 8.24 states/eV/f.u. The formation energy from raw total energies comes out at -0.638 eV per atom.

Unit cell a=6.673 b=6.619 c=6.676 alpha=92.13 beta=90.83 gamma=89.89
Fractional positions:
Se: 0.753 0.391 0.884
Se: 0.250 0.602 0.118
Se: 0.382 0.113 0.248
Se: 0.123 0.754 0.613
S: 0.873 0.268 0.398
S: 0.611 0.876 0.730
S: 0.758 0.756 0.258
S: 0.252 0.238 0.743
Mo: 0.772 0.587 0.564
Mo: 0.224 0.412 0.443
Mo: 0.421 0.561 0.761
Mo: 0.444 0.769 0.416
Mo: 0.564 0.226 0.583
Mo: 0.586 0.438 0.241
Tl: 0.987 0.007 0.001

***

Record 2
Entry from Alexandria via LeMat-Bulk: Hf3CrBi at its PBEsol-relaxed geometry (SCAN).

The density of states at the Fermi level comes out at 3.61 states/eV/f.u. The energy of formation comes out at 719 kJ/mol of formula units.

Unit cell a=5.262 b=5.262 c=5.262 alpha=90.00 beta=90.00 gamma=90.00
Site moments in Bohr magnetons follow the coordinates.
Fractional positions:
Cr: 0.500 0.500 0.500  4.03
Hf: 0.500 0.000 0.000  -0.21
Hf: 0.000 0.000 0.500  -0.21
Hf: 0.000 0.500 0.000  -0.21
Bi: 0.000 0.000 0.000  -0.04

***

Record 3
Entry from Alexandria via LeMat-Bulk: MgBPt2C at its PBEsol-relaxed geometry (SCAN).

The density of states at the Fermi level comes out at 4.98 states/eV/f.u. The energy of formation comes out at 1207 kJ/mol of formula units.

Unit cell a=3.782 b=4.594 c=4.594 alpha=90.00 beta=90.00 gamma=90.00
Fractional positions:
C: 0.500 0.000 0.000
Pt: 0.000 0.500 0.000
Pt: 0.000 0.000 0.500
B: 0.500 0.500 0.500
Mg: 0.000 0.000 0.000

***

Record 4
Entry from Alexandria via LeMat-Bulk: V5BiO10 at its PBEsol-relaxed geometry (SCAN).

The density of states at the Fermi level comes out at 6.05 states/eV/f.u. The formation energy from raw total energies comes out at -2.463 eV per atom.

Unit cell a=9.948 b=10.019 c=9.948 alpha=60.23 beta=90.00 gamma=119.77
Site moments in Bohr magnetons follow the coordinates.
Fractional positions:
V: 0.269 0.198 0.543  1.37
V: 0.344 0.402 0.128  1.47
V: 0.731 0.802 0.457  1.37
V: 0.128 0.598 0.057  1.47
V: 0.259 0.802 0.269  1.37
V: 0.543 0.802 0.929  1.37
V: 0.530 0.402 0.656  1.47
V: 0.855 0.000 0.673  1.44
V: 0.470 0.598 0.344  1.47
V: 0.741 0.198 0.731  1.37
V: 0.656 0.598 0.872  1.47
V: 0.929 0.198 0.259  1.37
V: 0.327 0.000 0.855  1.44
V: 0.145 0.000 0.327  1.44
V: 0.071 0.802 0.741  1.37
V: 0.057 0.402 0.470  1.47
V: 0.943 0.598 0.530  1.47
V: 0.872 0.402 0.943  1.47
V: 0.673 0.000 0.145  1.44
V: 0.457 0.198 0.071  1.37
O: 0.506 0.396 0.453  -0.02
O: 0.062 0.800 0.557  -0.09
O: 0.842 0.599 0.863  -0.09
O: 0.547 0.396 0.110  -0.02
O: 0.453 0.604 0.890  -0.02
O: 0.849 0.396 0.494  -0.02
O: 0.041 0.000 0.664  -0.09
O: 0.890 0.396 0.151  -0.02
O: 0.243 0.401 0.463  -0.09
O: 0.911 0.204 0.049  -0.02
O: 0.664 0.000 0.959  -0.09
O: 0.110 0.604 0.849  -0.02
O: 0.747 0.796 0.911  -0.02
O: 0.293 0.204 0.747  -0.02
O: 0.298 0.000 0.659  -0.04
O: 0.738 0.800 0.643  -0.09
O: 0.341 0.000 0.298  -0.04
O: 0.089 0.796 0.951  -0.02
O: 0.463 0.599 0.158  -0.09
O: 0.557 0.200 0.738  -0.09
O: 0.357 0.800 0.938  -0.09
O: 0.137 0.599 0.243  -0.09
O: 0.443 0.800 0.262  -0.09
O: 0.049 0.796 0.293  -0.02
O: 0.537 0.401 0.842  -0.09
O: 0.959 0.000 0.336  -0.09
O: 0.702 0.000 0.341  -0.04
O: 0.938 0.200 0.443  -0.09
O: 0.951 0.204 0.707  -0.02
O: 0.863 0.401 0.757  -0.09
O: 0.757 0.599 0.537  -0.09
O: 0.158 0.401 0.137  -0.09
O: 0.253 0.204 0.089  -0.02
O: 0.659 0.000 0.702  -0.04
O: 0.707 0.796 0.253  -0.02
O: 0.262 0.200 0.357  -0.09
O: 0.643 0.200 0.062  -0.09
O: 0.336 0.000 0.041  -0.09
O: 0.494 0.604 0.547  -0.02
O: 0.151 0.604 0.506  -0.02
Bi: 0.887 0.775 0.113  0.07
Bi: 0.113 0.225 0.887  0.07
Bi: 0.327 0.654 0.673  0.07
Bi: 0.673 0.346 0.327  0.07

***

Record 5
Entry from Alexandria via LeMat-Bulk: La2ZnRh at its PBEsol-relaxed geometry (SCAN).

The density of states at the Fermi level comes out at 2.53 states/eV/f.u. The energy of formation comes out at -214 kJ/mol of formula units.

Unit cell a=3.682 b=3.718 c=6.954 alpha=96.00 beta=90.00 gamma=90.00
Fractional positions:
Rh: 0.500 0.500 0.500
Zn: 0.500 0.500 0.000
La: 0.000 0.936 0.734
La: 0.000 0.064 0.266

***

Record 6
Entry from Alexandria via LeMat-Bulk: La2ScAl at its PBEsol-relaxed geometry (SCAN).

The density of states at the Fermi level comes out at 3.79 states/eV/f.u. The energy of formation comes out at -61 kJ/mol of formula units.

Unit cell a=4.686 b=4.686 c=5.837 alpha=113.66 beta=113.66 gamma=90.00
Fractional positions:
Sc: 0.500 0.500 0.000
La: 0.250 0.750 0.500
La: 0.750 0.250 0.500
Al: 0.000 0.000 0.000